(1)
Compound: MgTa2SbW
Source: Alexandria
Functional: PBE-GGA
Structure: optimized geometry

Cell lengths 4.970, 5.132, 4.970 Å; angles 90.00, 90.00, 90.00 degrees
Fractional coordinates of all 5 atoms:
1 Ta 0.000 0.000 0.500
2 Sb 0.000 0.500 0.000
3 W 0.000 0.000 0.000
4 Ta 0.500 0.000 0.000
5 Mg 0.500 0.500 0.500

**Crystal system**: tetragonal
**Electronic total energy**: -7.191 eV per atom
**V**: 25.4 A^3/atom

---

(2)
Compound: Pm2Si3Pt9
Source: Alexandria
Functional: PBE-GGA
Structure: optimized geometry

Cell lengths 7.730, 7.730, 10.106 Å; angles 90.38, 111.96, 120.17 degrees
Fractional coordinates of all 28 atoms:
1 Si 0.500 0.500 0.500
2 Pt 0.864 0.013 0.059
3 Pt 0.120 0.141 0.427
4 Pm 0.336 0.244 0.750
5 Pt 0.214 0.516 0.576
6 Si 0.500 0.000 0.000
7 Pt 0.454 0.806 0.441
8 Pt 0.443 0.916 0.741
9 Pt 0.546 0.194 0.559
10 Pt 0.214 0.693 0.073
11 Pt 0.136 0.987 0.941
12 Si 0.141 0.820 0.498
13 Si 0.859 0.180 0.502
14 Pm 0.664 0.756 0.250
15 Si 0.178 0.357 0.998
16 Pt 0.110 0.860 0.250
17 Pt 0.326 0.298 0.241
18 Pt 0.786 0.307 0.927
19 Si 0.822 0.643 0.002
20 Pt 0.674 0.702 0.759
21 Pm 0.993 0.586 0.750
22 Pt 0.890 0.140 0.750
23 Pt 0.786 0.484 0.424
24 Pt 0.880 0.859 0.573
25 Pt 0.441 0.638 0.924
26 Pt 0.557 0.084 0.259
27 Pm 0.007 0.414 0.250
28 Pt 0.559 0.362 0.076

**Crystal system**: monoclinic
**Electronic total energy**: -6.625 eV per atom
**V**: 16.8 A^3/atom

---

(3)
Compound: ZnSnB2
Source: Alexandria
Functional: PBE-GGA
Structure: optimized geometry

Cell lengths 4.047, 4.047, 7.402 Å; angles 74.13, 74.13, 90.00 degrees
Fractional coordinates of all 8 atoms:
1 B 0.875 0.770 0.750
2 Zn 0.250 0.750 0.500
3 Zn 0.500 0.500 0.000
4 Sn 0.750 0.250 0.500
5 B 0.375 0.480 0.750
6 B 0.230 0.625 0.250
7 Sn 0.000 0.000 0.000
8 B 0.520 0.125 0.250

**Relative energy among the computed polymorphs**: 0 meV/atom
**Formation energy**: 0.818 eV/atom
**Crystal system**: tetragonal
**Electronic total energy**: -3.840 eV per atom
**V**: 14.0 A^3/atom

---

(4)
Compound: BiSbRu2S
Source: Alexandria
Functional: PBE-GGA
Structure: optimized geometry

Cell lengths 4.875, 5.898, 4.875 Å; angles 90.00, 90.00, 90.00 degrees
Fractional coordinates of all 5 atoms:
1 S 0.500 0.500 0.500
2 Ru 0.000 0.000 0.500
3 Bi 0.000 0.500 0.000
4 Sb 0.000 0.000 0.000
5 Ru 0.500 0.000 0.000

**Crystal system**: tetragonal
**Electronic total energy**: -4.618 eV per atom
**V**: 28.0 A^3/atom

---

(5)
Compound: RbNp2AuS4
Source: Alexandria
Functional: PBE-GGA
Structure: optimized geometry

Cell lengths 4.102, 7.164, 14.101 Å; angles 90.00, 90.00, 106.64 degrees
Fractional coordinates of all 16 atoms:
1 Au 0.162 0.324 0.250
2 Np 0.630 0.260 0.438
3 S 0.560 0.121 0.250
4 S 0.440 0.879 0.750
5 S 0.000 0.000 0.000
6 S 0.260 0.520 0.100
7 Np 0.370 0.740 0.562
8 S 0.260 0.520 0.400
9 S 0.740 0.480 0.600
10 Rb 0.116 0.232 0.750
11 Np 0.370 0.740 0.938
12 Rb 0.884 0.768 0.250
13 S 0.000 0.000 0.500
14 Np 0.630 0.260 0.062
15 Au 0.838 0.676 0.750
16 S 0.740 0.480 0.900

**Crystal system**: orthorhombic
**Electronic total energy**: -6.936 eV per atom
**V**: 24.8 A^3/atom

---

(6)
Compound: Ta2BeCo
Source: Alexandria
Functional: PBE-GGA
Structure: optimized geometry

Cell lengths 3.552, 2.796, 6.255 Å; angles 63.41, 90.00, 90.00 degrees
Fractional coordinates of all 4 atoms:
1 Ta 0.000 0.499 0.498
2 Ta 0.000 0.001 0.002
3 Co 0.500 0.750 0.750
4 Be 0.500 0.250 0.250

**Formation energy**: -0.037 eV/atom
**Crystal system**: monoclinic
**Electronic total energy**: -8.672 eV per atom
**V**: 13.9 A^3/atom

---

(7)
Compound: Tm6SnTe
Source: Alexandria
Functional: PBE-GGA
Structure: optimized geometry

Cell lengths 7.924, 7.924, 5.719 Å; angles 68.86, 68.85, 42.31 degrees
Fractional coordinates of all 8 atoms:
1 Tm 0.259 0.259 0.741
2 Tm 0.119 0.119 0.381
3 Sn 0.500 0.500 0.500
4 Tm 0.381 0.381 0.119
5 Tm 0.619 0.619 0.881
6 Tm 0.881 0.881 0.619
7 Tm 0.741 0.741 0.259
8 Te 0.000 0.000 0.000

**Crystal system**: tetragonal
**Electronic total energy**: -4.664 eV per atom
**V**: 27.9 A^3/atom

---

(8)
Compound: HoScPa2C4
Source: Alexandria
Functional: PBE-GGA
Structure: optimized geometry

Cell lengths 7.110, 7.110, 7.089 Å; angles 119.90, 119.90, 90.09 degrees
Fractional coordinates of all 16 atoms:
1 C 0.267 0.759 0.013
2 C 0.744 0.756 0.493
3 Sc 0.000 0.000 0.000
4 Ho 0.000 0.500 0.000
5 Pa 0.000 0.000 0.500
6 Pa 0.500 0.000 0.000
7 Pa 0.500 0.000 0.500
8 C 0.256 0.244 0.993
9 C 0.256 0.244 0.507
10 Pa 0.500 0.500 0.000
11 C 0.259 0.767 0.513
12 C 0.741 0.233 0.487
13 C 0.733 0.241 0.987
14 Ho 0.000 0.500 0.500
15 Sc 0.500 0.500 0.500
16 C 0.744 0.756 0.007

**Formation energy**: -0.413 eV/atom
**Crystal system**: orthorhombic
**Electronic total energy**: -8.763 eV per atom
**V**: 15.9 A^3/atom

---

(9)
Compound: NiAsSe2
Source: Alexandria
Functional: PBE-GGA
Structure: optimized geometry

Cell lengths 3.192, 3.192, 6.773 Å; angles 90.00, 90.00, 90.00 degrees
Fractional coordinates of all 4 atoms:
1 Se 0.000 0.000 0.967
2 As 0.500 0.500 0.250
3 Ni 0.500 0.500 0.750
4 Se 0.000 0.000 0.533

**Crystal system**: tetragonal
**Electronic total energy**: -4.003 eV per atom
**V**: 17.3 A^3/atom

---

(10)
Compound: U3Si
Source: Alexandria
Functional: PBE-GGA
Structure: optimized geometry

Cell lengths 6.010, 6.010, 6.010 Å; angles 120.24, 120.24, 89.58 degrees
Fractional coordinates of all 8 atoms:
1 U 0.279 0.221 0.500
2 U 0.721 0.779 0.500
3 Si 0.250 0.250 0.000
4 U 0.250 0.750 0.500
5 U 0.750 0.250 0.500
6 U 0.221 0.721 0.942
7 Si 0.750 0.750 0.000
8 U 0.779 0.279 0.058

**Relative energy among the computed polymorphs**: 0 meV/atom
**Crystal system**: tetragonal
**Electronic total energy**: -10.067 eV per atom
**V**: 19.1 A^3/atom

---

(11)
Compound: ErSc3Ni
Source: Alexandria
Functional: PBE-GGA
Structure: optimized geometry

Cell lengths 6.955, 6.955, 6.954 Å; angles 92.83, 120.66, 116.15 degrees
Fractional coordinates of all 10 atoms:
1 Ni 0.531 0.032 0.999
2 Er 0.516 0.282 0.734
3 Sc 0.531 0.296 0.264
4 Sc 0.036 0.281 0.255
5 Sc 0.032 0.267 0.736
6 Er 0.548 0.782 0.266
7 Sc 0.531 0.767 0.735
8 Sc 0.032 0.796 0.265
9 Ni 0.032 0.532 0.001
10 Sc 0.026 0.781 0.745

**Relative energy among the computed polymorphs**: 22 meV/atom
**Formation energy**: -0.050 eV/atom
**Crystal system**: orthorhombic
**Electronic total energy**: -5.917 eV per atom
**V**: 24.3 A^3/atom

---

(12)
Compound: LaZn3Ag3
Source: Alexandria
Functional: PBE-GGA
Structure: optimized geometry

Cell lengths 4.854, 8.034, 8.035 Å; angles 120.01, 90.00, 90.00 degrees
Fractional coordinates of all 14 atoms:
1 Zn 0.250 0.085 0.618
2 Zn 0.750 0.467 0.085
3 Ag 0.750 0.224 0.216
4 Ag 0.250 0.776 0.784
5 La 0.750 0.333 0.667
6 La 0.250 0.667 0.333
7 Zn 0.750 0.915 0.382
8 Ag 0.250 0.008 0.224
9 Ag 0.250 0.216 0.992
10 Ag 0.750 0.784 0.008
11 Ag 0.750 0.992 0.776
12 Zn 0.250 0.382 0.467
13 Zn 0.250 0.533 0.915
14 Zn 0.750 0.618 0.533

**Formation energy**: -0.089 eV/atom
**Crystal system**: hexagonal
**Electronic total energy**: -2.560 eV per atom
**V**: 19.4 A^3/atom

---

> Number 10 is which compound?

U3Si

---

> What is the electronic total energy in the sixth record?

-8.672 eV per atom